# Li2InTcBr

Li2InTcBr after structural relaxation (PBE, Alexandria via LeMat-Bulk).

```
Li2InTcBr
1.0
-0.340 3.891 3.243
-4.542 0.360 -0.909
-1.012 -3.237 3.777
Br Tc Li In
1 1 2 1
direct
0.000 0.500 0.000 Br
0.000 0.000 0.000 Tc
0.500 0.000 0.000 Li
0.000 0.000 0.500 Li
0.500 0.500 0.500 In
```

Computed properties:
* raw total energy: -3.233 eV per atom
* energy relative to the elements, uncorrected: 488 meV/atom

# Li2ThInBr8

Li2ThInBr8 after structural relaxation (PBE, Alexandria via LeMat-Bulk).

```
Li2ThInBr8
1.0
6.843 -0.328 -0.003
-0.333 6.691 -0.007
0.007 0.009 8.671
Br Th Li In
8 1 2 1
direct
0.182 0.787 0.237 Br
0.818 0.213 0.763 Br
0.320 0.306 0.500 Br
0.673 0.705 0.000 Br
0.327 0.295 0.000 Br
0.182 0.787 0.763 Br
0.818 0.213 0.237 Br
0.680 0.694 0.500 Br
0.000 0.000 0.000 Th
0.501 0.500 0.265 Li
0.499 0.500 0.735 Li
0.000 0.000 0.500 In
```

Computed properties:
* raw total energy: -3.632 eV per atom
* energy relative to the elements, uncorrected: -1351 meV/atom

# LiTiIn2Br6

LiTiIn2Br6 after structural relaxation (PBE, Alexandria via LeMat-Bulk).

```
LiTiIn2Br6
1.0
-5.466 -4.958 -1.465
-0.004 -3.798 -6.495
1.490 -7.321 -0.077
Br In Ti Li
6 2 1 1
direct
0.089 0.500 0.786 Br
0.500 0.625 0.787 Br
0.020 0.564 0.276 Br
0.139 0.021 0.277 Br
0.563 0.139 0.278 Br
0.625 0.087 0.788 Br
0.548 0.549 0.355 In
0.044 0.044 0.869 In
0.320 0.320 0.040 Ti
0.813 0.814 0.559 Li
```

Computed properties:
* raw total energy: -3.543 eV per atom
* energy relative to the elements, uncorrected: -1011 meV/atom